[1]
Material: CaCd2Os
Method: DFT, PBEsol
State: optimized geometry

Computed properties:
magnetic moment = 0.00 μB per atom
energy of formation from the pure elements = 0.273 eV/atom

a b c (Å): 4.3163 4.3163 8.1876
angles (deg): 90.00 90.00 90.00
Closest atoms and distances in Å follow each position.
Space group I4/mmm (No. 139)
Unique sites:
1 Ca 0.0000 0.0000 0.0000 x2  8 Cd 2.97, 4 Os 3.05
2 Cd 0.0000 0.5000 0.2500 x4  4 Os 2.97, 4 Ca 2.97, 4 Cd 3.05
3 Os 0.0000 0.0000 0.5000 x2  8 Cd 2.97, 4 Ca 3.05

[2]
Material: Ca2CdOs
Method: DFT, PBEsol
State: optimized geometry

Computed properties:
magnetic moment = 0.00 μB per atom
energy of formation from the pure elements = 0.347 eV/atom

a b c (Å): 6.9436 6.9436 6.9436
angles (deg): 90.00 90.00 90.00
Closest atoms and distances in Å follow each position.
Space group F-43m (No. 216)
Unique sites:
1 Ca 0.0000 0.0000 0.0000 x4  4 Os 3.01, 4 Ca 3.01
2 Ca 0.2500 0.2500 0.2500 x4  4 Cd 3.01, 4 Ca 3.01
3 Cd 0.0000 0.0000 0.5000 x4  4 Os 3.01, 4 Ca 3.01
4 Os 0.2500 0.2500 0.7500 x4  4 Cd 3.01, 4 Ca 3.01

[3]
Material: CaCdOs3
Method: DFT, PBEsol
State: optimized geometry

Computed properties:
magnetic moment = 0.46 μB per atom
energy of formation from the pure elements = 2.551 eV/atom

a b c (Å): 4.8263 4.8263 4.8263
angles (deg): 90.00 90.00 90.00
Closest atoms and distances in Å follow each position.
Space group Pm-3m (No. 221)
Unique sites:
1 Ca 0.0000 0.0000 0.0000 x1  12 Os 3.41
2 Cd 0.5000 0.5000 0.5000 x1  6 Os 2.41
3 Os 0.0000 0.5000 0.5000 x3  2 Cd 2.41

[4]
Material: CaCd3Os
Method: DFT, PBEsol
State: optimized geometry

Computed properties:
magnetic moment = 0.53 μB per atom
energy of formation from the pure elements = 2.032 eV/atom

a b c (Å): 5.3668 5.3668 5.3668
angles (deg): 90.00 90.00 90.00
Closest atoms and distances in Å follow each position.
Space group Pm-3m (No. 221)
Unique sites:
1 Ca 0.0000 0.0000 0.0000 x1  6 Cd 2.68
2 Cd 0.0000 0.0000 0.5000 x3  2 Ca 2.68
3 Os 0.5000 0.5000 0.5000 x1  12 Cd 3.79

[5]
Material: CaCd2Os
Method: DFT, PBEsol
State: optimized geometry

Computed properties:
magnetic moment = 0.00 μB per atom
energy of formation from the pure elements = 0.374 eV/atom

a b c (Å): 4.2775 4.2775 8.4067
angles (deg): 90.00 90.00 90.00
Closest atoms and distances in Å follow each position.
Space group I-4m2 (No. 119)
Unique sites:
1 Ca 0.0000 0.0000 0.0000 x2  8 Cd 3.00-3.02, 4 Os 3.00
2 Cd 0.0000 0.0000 0.5000 x2  4 Cd 3.00, 4 Os 3.00, 4 Ca 3.02
3 Cd 0.0000 0.5000 0.2500 x2  4 Cd 3.00, 4 Ca 3.00, 4 Os 3.02
4 Os 0.0000 0.5000 0.7500 x2  8 Cd 3.00-3.02, 4 Ca 3.00

[6]
Material: CaZr2CdOs
Method: DFT, PBEsol
State: optimized geometry

Computed properties:
magnetic moment = 0.15 μB per atom
energy of formation from the pure elements = 2.144 eV/atom

a b c (Å): 4.7510 4.7510 4.8463
angles (deg): 90.00 90.00 90.00
Closest atoms and distances in Å follow each position.
Space group P4/mmm (No. 123)
Unique sites:
1 Ca 0.0000 0.0000 0.0000 x1  4 Zr 2.38, 2 Cd 2.42
2 Zr 0.0000 0.5000 0.0000 x2  2 Ca 2.38
3 Cd 0.0000 0.0000 0.5000 x1  2 Ca 2.42
4 Os 0.5000 0.5000 0.5000 x1  4 Cd 3.36, 8 Zr 3.39

[7]
Material: Ca2CdP
Method: DFT, PBEsol
State: optimized geometry

Computed properties:
energy above the lowest structure with this stoichiometry = 27 meV per atom
magnetic moment = 0.00 μB per atom
energy of formation from the pure elements = -0.689 eV/atom

a b c (Å): 3.6268 3.7090 6.9127
angles (deg): 90.00 90.00 90.00
Closest atoms and distances in Å follow each position.
Space group Pmmm (No. 47)
Unique sites:
1 Ca 0.0000 0.0000 0.2139 x2  1 Ca 2.96, 4 P 2.99, 4 Cd 3.26
2 Cd 0.5000 0.5000 0.5000 x1  8 Ca 3.26, 2 P 3.46, 2 Cd 3.63
3 P 0.5000 0.5000 0.0000 x1  8 Ca 2.99

[8]
Material: Ca3CdP
Method: DFT, PBEsol
State: optimized geometry

Computed properties:
magnetic moment = 0.00 μB per atom
energy of formation from the pure elements = -0.553 eV/atom

a b c (Å): 5.4253 5.4253 5.4253
angles (deg): 90.00 90.00 90.00
Closest atoms and distances in Å follow each position.
Space group Pm-3m (No. 221)
Unique sites:
1 Ca 0.0000 0.0000 0.5000 x3  2 P 2.71
2 Cd 0.5000 0.5000 0.5000 x1  12 Ca 3.84
3 P 0.0000 0.0000 0.0000 x1  6 Ca 2.71